i) VASP calculation (PBE) on a relaxed structure of NaTbGeO4.

- N(E_F) (states/eV per atom) = 0.000

Structure (CIF):
```
data_NaTbGeO4
_cell_length_a 6.051
_cell_length_b 6.838
_cell_length_c 8.849
_cell_angle_alpha 90.00
_cell_angle_beta 90.00
_cell_angle_gamma 90.00
_symmetry_space_group_name_H-M 'I m m a'
_symmetry_Int_Tables_number 74
_symmetry_space_group_name_Hall '-I 2b 2'
loop_
_atom_site_label
_atom_site_type_symbol
_atom_site_fract_x
_atom_site_fract_y
_atom_site_fract_z
Na1 Na 0.250 0.250 0.250
Tb1 Tb 0.000 0.000 0.000
Ge1 Ge 0.000 0.250 0.633
O1 O 0.000 0.032 0.743
O2 O 0.244 0.250 0.509
```


ii) VASP calculation (PBE) on a relaxed structure of NaTbGeO4.

- N(E_F) (states/eV per atom) = 0.000

Structure (CIF):
```
data_NaTbGeO4
_cell_length_a 11.567
_cell_length_b 6.535
_cell_length_c 5.343
_cell_angle_alpha 90.00
_cell_angle_beta 90.00
_cell_angle_gamma 90.00
_symmetry_space_group_name_H-M 'P n m a'
_symmetry_Int_Tables_number 62
_symmetry_space_group_name_Hall '-P 2ac 2n'
loop_
_atom_site_label
_atom_site_type_symbol
_atom_site_fract_x
_atom_site_fract_y
_atom_site_fract_z
Na1 Na 0.000 0.000 0.000
Tb1 Tb 0.222 0.250 0.496
Ge1 Ge 0.097 0.750 0.555
O1 O 0.045 0.250 0.325
O2 O 0.111 0.750 0.229
O3 O 0.174 0.543 0.708
```


Computed stability ranking, most favorable first: ii), i)